1.
HfPa2Ga4: optimized geometry, GGA-PBE.

Summary:
The calculated density is 8.30 g cm⁻³. Its total energy is -39.35 eV per formula unit. For the energy of formation, the calculation gives 243 meV/atom. Its symmetry is I4/mmm, No. 139. The magnetic moment is 0.002 μB per formula unit.

```
7
Lattice="-2.541 2.541 7.123 2.541 -2.541 7.123 2.541 2.541 -7.123" Properties=species:S:1:pos:R:3 pbc="T T T"
Hf 0.000 0.000 0.000
Pa 0.000 0.000 5.633
Pa 0.000 0.000 8.613
Ga 2.541 0.000 0.000
Ga 0.000 0.000 2.679
Ga 0.000 2.541 0.000
Ga 0.000 0.000 11.567
```



2.
Hf2PaGa6: optimized geometry, GGA-PBE.

Summary:
The calculated density is 9.36 g cm⁻³. Its total energy is -49.59 eV per formula unit. For the energy of formation, the calculation gives -225 meV/atom. Its symmetry is Immm, No. 71. The magnetic moment is 0.012 μB per formula unit.

```
9
Lattice="-2.051 3.357 6.481 2.051 -3.357 6.481 2.051 3.357 -6.481" Properties=species:S:1:pos:R:3 pbc="T T T"
Hf 0.000 0.000 1.541
Hf 0.000 0.000 11.422
Pa 0.000 3.357 0.000
Ga 2.051 2.001 -2.434
Ga 2.051 1.262 0.000
Ga 2.051 2.001 2.434
Ga 0.000 1.357 4.047
Ga 0.000 2.096 6.481
Ga 0.000 1.357 8.916
```



3.
HfPa2Ga3: optimized geometry, GGA-PBE.

Summary:
The calculated density is 11.30 g cm⁻³. Its total energy is -39.93 eV per formula unit. For the energy of formation, the calculation gives -318 meV/atom. Its symmetry is P6_3/mmc, No. 194. The magnetic moment is 1.298 μB per formula unit.

```
12
Lattice="5.868 0.000 0.000 -2.934 5.082 0.000 0.000 0.000 8.373" Properties=species:S:1:pos:R:3 pbc="T T T"
Hf 0.000 0.000 0.000
Hf 0.000 0.000 4.186
Pa 0.000 3.388 0.728
Pa 0.000 3.388 3.459
Pa 2.934 1.694 4.914
Pa 2.934 1.694 7.645
Ga 0.000 1.856 6.280
Ga -1.326 4.154 6.280
Ga 1.608 0.928 2.093
Ga 1.326 4.154 6.280
Ga 4.260 0.928 2.093
Ga 2.934 3.226 2.093
```



4.
Hf2PaGa9: optimized geometry, GGA-PBE.

Summary:
The calculated density is 9.29 g cm⁻³. Its total energy is -61.19 eV per formula unit. For the energy of formation, the calculation gives -379 meV/atom. Its symmetry is P4/mmm, No. 123. The magnetic moment is 0.000 μB per formula unit.

```
12
Lattice="4.172 0.000 0.000 0.000 4.172 0.000 0.000 0.000 12.479" Properties=species:S:1:pos:R:3 pbc="T T T"
Hf 0.000 0.000 2.007
Hf 0.000 0.000 10.472
Pa 0.000 0.000 6.239
Ga 0.000 2.086 0.000
Ga 0.000 2.086 4.057
Ga 0.000 2.086 8.422
Ga 2.086 0.000 0.000
Ga 2.086 0.000 4.057
Ga 2.086 0.000 8.422
Ga 2.086 2.086 2.059
Ga 2.086 2.086 6.239
Ga 2.086 2.086 10.419
```



5.
HfPaGaRe: optimized geometry, GGA-PBE.

Summary:
The calculated density is 13.85 g cm⁻³. Its total energy is -35.27 eV per formula unit. For the energy of formation, the calculation gives -87 meV/atom. Its symmetry is F-43m, No. 216. The magnetic moment is 0.000 μB per formula unit.

```
4
Lattice="0.000 3.417 3.417 3.417 0.000 3.417 3.417 3.417 0.000" Properties=species:S:1:pos:R:3 pbc="T T T"
Hf 0.000 0.000 0.000
Pa 3.417 3.417 3.417
Ga 1.709 1.709 1.709
Re 5.126 5.126 5.126
```



6.
HfUPaGa: optimized geometry, GGA-PBE.

Summary:
The calculated density is 13.84 g cm⁻³. Its total energy is -33.19 eV per formula unit. For the energy of formation, the calculation gives 143 meV/atom. Its symmetry is F-43m, No. 216. The magnetic moment is 3.360 μB per formula unit.

```
4
Lattice="0.000 3.504 3.504 3.504 0.000 3.504 3.504 3.504 0.000" Properties=species:S:1:pos:R:3 pbc="T T T"
Hf 0.000 0.000 0.000
U 5.256 5.256 5.256
Pa 3.504 3.504 3.504
Ga 1.752 1.752 1.752
```



7.
HfPaZnGa: optimized geometry, GGA-PBE.

Summary:
The calculated density is 11.05 g cm⁻³. Its total energy is -24.14 eV per formula unit. For the energy of formation, the calculation gives -97 meV/atom. Its symmetry is F-43m, No. 216. The magnetic moment is 0.789 μB per formula unit.

```
4
Lattice="0.000 3.446 3.446 3.446 0.000 3.446 3.446 3.446 0.000" Properties=species:S:1:pos:R:3 pbc="T T T"
Hf 0.000 0.000 0.000
Pa 3.446 3.446 3.446
Zn 5.169 5.169 5.169
Ga 1.723 1.723 1.723
```



8.
HfGa2Pb: optimized geometry, GGA-PBE.

Summary:
The calculated density is 9.60 g cm⁻³. Its total energy is -18.99 eV per formula unit. For the energy of formation, the calculation gives 182 meV/atom. Its symmetry is I-42d, No. 122. The magnetic moment is 0.000 μB per formula unit.

```
8
Lattice="-3.910 3.910 2.969 3.910 -3.910 2.969 3.910 3.910 -2.969" Properties=species:S:1:pos:R:3 pbc="T T T"
Hf 0.000 0.000 0.000
Hf 0.000 3.910 1.484
Ga 5.866 1.875 -0.742
Ga 1.875 1.955 0.742
Ga -1.955 2.036 2.227
Ga 2.036 1.955 3.711
Pb 3.910 0.000 1.484
Pb 0.000 0.000 2.969
```



9.
HfGa3Pb: optimized geometry, GGA-PBE.

Summary:
The calculated density is 6.77 g cm⁻³. Its total energy is -17.12 eV per formula unit. For the energy of formation, the calculation gives 1124 meV/atom. Its symmetry is Pm-3m, No. 221. Its energy above the most stable polymorph in this dataset is 3.51 eV per formula unit. The magnetic moment is 0.000 μB per formula unit.

```
5
Lattice="5.264 0.000 0.000 0.000 5.264 0.000 0.000 0.000 5.264" Properties=species:S:1:pos:R:3 pbc="T T T"
Hf 0.000 0.000 0.000
Ga 0.000 2.632 2.632
Ga 2.632 0.000 2.632
Ga 2.632 2.632 0.000
Pb 2.632 2.632 2.632
```



10.
Hf5GaPb2: optimized geometry, GGA-PBE.

Summary:
The calculated density is 13.08 g cm⁻³. Its total energy is -60.91 eV per formula unit. For the energy of formation, the calculation gives -88 meV/atom. Its symmetry is Pbam, No. 55. The magnetic moment is 0.000 μB per formula unit.

```
16
Lattice="6.198 0.000 0.000 0.000 12.015 0.000 0.000 0.000 4.692" Properties=species:S:1:pos:R:3 pbc="T T T"
Hf 0.000 0.000 0.000
Hf 0.846 2.970 0.000
Hf 0.947 7.236 2.346
Hf 2.152 1.229 2.346
Hf 2.253 8.978 0.000
Hf 3.099 6.008 0.000
Hf 3.945 3.038 0.000
Hf 4.047 10.787 2.346
Hf 5.251 4.779 2.346
Hf 5.352 9.045 0.000
Ga 0.000 6.008 0.000
Ga 3.099 0.000 0.000
Pb 0.877 10.306 2.346
Pb 2.223 4.298 2.346
Pb 3.976 7.717 2.346
Pb 5.322 1.709 2.346
```



11.
HfGa2Pb2: optimized geometry, GGA-PBE.

Summary:
The calculated density is 10.44 g cm⁻³. Its total energy is -22.69 eV per formula unit. For the energy of formation, the calculation gives 146 meV/atom. Its symmetry is P4/mbm, No. 127. The magnetic moment is 0.000 μB per formula unit.

```
10
Lattice="7.461 0.000 0.000 0.000 7.461 0.000 0.000 0.000 4.186" Properties=species:S:1:pos:R:3 pbc="T T T"
Hf 0.000 0.000 0.000
Hf 3.730 3.730 0.000
Ga 0.962 2.768 0.000
Ga 2.768 6.499 0.000
Ga 4.693 0.962 0.000
Ga 6.499 4.693 0.000
Pb 1.297 5.027 2.093
Pb 2.434 1.297 2.093
Pb 5.027 6.164 2.093
Pb 6.164 2.434 2.093
```



12.
Hf8GaPb2: optimized geometry, GGA-PBE.

Summary:
The calculated density is 12.67 g cm⁻³. Its total energy is -89.45 eV per formula unit. For the energy of formation, the calculation gives 57 meV/atom. Its symmetry is C2/m, No. 12. The magnetic moment is 0.000 μB per formula unit.

```
11
Lattice="9.252 -2.415 0.000 9.252 2.415 0.000 -1.694 0.000 5.609" Properties=species:S:1:pos:R:3 pbc="T T T"
Hf -0.109 0.000 1.467
Hf 2.863 0.000 4.775
Hf 5.729 0.000 2.450
Hf 6.006 0.000 5.605
Hf 10.804 0.000 0.003
Hf 11.080 0.000 3.159
Hf 13.947 0.000 0.834
Hf 16.919 0.000 4.142
Ga 8.405 0.000 2.804
Pb 2.823 0.000 1.606
Pb 13.987 0.000 4.002
```